Entry a
Here is a relaxed La2OsCl crystal from the Alexandria database. Energies are from PBE.

The structure in POSCAR format:
```
La2OsCl
1.0
4.8661 0.0000 0.0000
0.0000 1.8140 5.6666
0.0000 -1.8140 5.6666
La Os Cl
2 1 1
direct
0.0000 0.0000 0.0000
0.5000 0.2586 0.2586
0.0000 0.7749 0.7749
0.5000 0.5198 0.5198
```

Values from the calculation:
The density of states at the Fermi level is 2.91 states/eV/f.u. As for the crystal system: orthorhombic.


Entry b
Here is a relaxed La2OsCl crystal from the Alexandria database. Energies are from PBE.

The structure in POSCAR format:
```
La2OsCl
1.0
0.0000 3.6230 3.6230
3.6230 0.0000 3.6230
3.6230 3.6230 0.0000
La Os Cl
2 1 1
direct
0.2500 0.2500 0.2500
0.7500 0.7500 0.7500
0.0000 0.0000 0.0000
0.5000 0.5000 0.5000
```

Values from the calculation:
The density of states at the Fermi level is 3.86 states/eV/f.u. As for the crystal system: cubic.


The most stable of them is entry a.


Entry a
Here is a relaxed La2OsCl crystal from the Alexandria database. Energies are from PBE.

The structure in POSCAR format:
```
La2OsCl
1.0
2.0755 1.1983 7.7602
-2.0755 1.1983 7.7602
0.0000 -2.3966 7.7602
La Os Cl
2 1 1
direct
0.0000 0.0000 0.0000
0.1997 0.1997 0.1997
0.5996 0.5996 0.5996
0.7703 0.7703 0.7703
```

Values from the calculation:
The density of states at the Fermi level is 3.05 states/eV/f.u. As for the crystal system: trigonal.


Entry b
Here is a relaxed La2OsCl crystal from the Alexandria database. Energies are from PBE.

The structure in POSCAR format:
```
La2OsCl
1.0
-2.0447 2.0447 5.7454
2.0447 -2.0447 5.7454
2.0447 2.0447 -5.7454
La Os Cl
2 1 1
direct
0.0000 0.0000 0.0000
0.7500 0.2500 0.5000
0.2500 0.7500 0.5000
0.5000 0.5000 0.0000
```

Values from the calculation:
The density of states at the Fermi level is 3.77 states/eV/f.u. As for the crystal system: tetragonal.


Entry c
Here is a relaxed La2OsCl crystal from the Alexandria database. Energies are from PBE.

The structure in POSCAR format:
```
La2OsCl
1.0
3.4591 0.0000 0.0000
0.0000 3.4591 0.0000
0.0000 0.0000 8.2470
La Os Cl
2 1 1
direct
0.0000 0.0000 0.2179
0.0000 0.0000 0.7821
0.5000 0.5000 0.0000
0.5000 0.5000 0.5000
```

Values from the calculation:
The density of states at the Fermi level is 1.89 states/eV/f.u. As for the crystal system: tetragonal.


Entry d
Here is a relaxed La2OsCl crystal from the Alexandria database. Energies are from PBE.

The structure in POSCAR format:
```
La2OsCl
1.0
-3.2359 3.2359 6.6677
3.2359 -3.2359 6.6677
3.2359 3.2359 -6.6677
La Os Cl
4 2 2
direct
0.0805 0.6250 0.9555
0.3750 0.3305 0.4555
0.6695 0.1250 0.0445
0.8750 0.9195 0.5445
0.0000 0.0000 0.0000
0.7500 0.2500 0.5000
0.2500 0.7500 0.5000
0.5000 0.5000 0.0000
```

Values from the calculation:
The density of states at the Fermi level is 2.19 states/eV/f.u. As for the crystal system: tetragonal.


The most stable of them is entry a.


Entry a
Here is a relaxed La2OsCl crystal from the Alexandria database. Energies are from PBE.

The structure in POSCAR format:
```
La2OsCl
1.0
2.0918 1.2077 7.5695
-2.0918 1.2077 7.5695
0.0000 -2.4154 7.5695
La Os Cl
2 1 1
direct
0.2343 0.2343 0.2343
0.7657 0.7657 0.7657
0.5000 0.5000 0.5000
0.0000 0.0000 0.0000
```

Values from the calculation:
The density of states at the Fermi level is 1.98 states/eV/f.u. As for the crystal system: trigonal.


Entry b
Here is a relaxed La2OsCl crystal from the Alexandria database. Energies are from PBE.

The structure in POSCAR format:
```
La2OsCl
1.0
-1.7612 1.9360 7.9711
1.7612 -1.9360 7.9711
1.7612 1.9360 -7.9711
La Os Cl
2 1 1
direct
0.0000 0.0000 0.0000
0.7841 0.2841 0.5000
0.3758 0.8758 0.5000
0.6198 0.6198 0.0000
```

Values from the calculation:
The density of states at the Fermi level is 2.49 states/eV/f.u. As for the crystal system: orthorhombic.


The most stable of them is entry a.


Entry a
Here is a relaxed LaOsCl2 crystal from the Alexandria database. Energies are from PBE.

The structure in POSCAR format:
```
LaOsCl2
1.0
3.3382 0.0000 0.0000
0.0000 4.2752 0.0000
0.0000 0.0000 6.3058
La Os Cl
1 1 2
direct
0.0000 0.0000 0.0000
0.0000 0.0000 0.5000
0.5000 0.5000 0.2359
0.5000 0.5000 0.7641
```

Values from the calculation:
The density of states at the Fermi level is 3.69 states/eV/f.u. As for the crystal system: orthorhombic.


Entry b
Here is a relaxed LaOsCl2 crystal from the Alexandria database. Energies are from PBE.

The structure in POSCAR format:
```
LaOsCl2
1.0
2.9935 -3.3769 0.0000
2.9935 3.3769 0.0000
0.0000 0.0000 4.3080
La Os Cl
1 1 2
direct
0.0000 0.0000 0.0000
0.5000 0.5000 0.0000
0.2939 0.7061 0.5000
0.7061 0.2939 0.5000
```

Values from the calculation:
The density of states at the Fermi level is 2.21 states/eV/f.u. As for the crystal system: orthorhombic.


Entry c
Here is a relaxed LaOsCl2 crystal from the Alexandria database. Energies are from PBE.

The structure in POSCAR format:
```
LaOsCl2
1.0
4.4230 0.0000 0.0000
0.0000 4.4230 0.0000
0.0000 0.0000 4.1234
La Os Cl
1 1 2
direct
0.0000 0.0000 0.0000
0.5000 0.5000 0.0000
0.0000 0.5000 0.5000
0.5000 0.0000 0.5000
```

Values from the calculation:
The density of states at the Fermi level is 3.47 states/eV/f.u. As for the crystal system: tetragonal.


Entry d
Here is a relaxed LaOsCl2 crystal from the Alexandria database. Energies are from PBE.

The structure in POSCAR format:
```
LaOsCl2
1.0
3.6055 0.0000 0.0000
0.0000 4.3480 0.0000
0.0000 0.0000 6.1441
La Os Cl
1 1 2
direct
0.0000 0.0000 0.0000
0.5000 0.5000 0.1849
0.0000 0.0000 0.4687
0.5000 0.5000 0.8089
```

Values from the calculation:
The density of states at the Fermi level is 3.44 states/eV/f.u. As for the crystal system: orthorhombic.


The most stable of them is entry b.


Entry a
Here is a relaxed LaOsCl2 crystal from the Alexandria database. Energies are from PBE.

The structure in POSCAR format:
```
LaOsCl2
1.0
-2.0319 2.0319 5.0460
2.0319 -2.0319 5.0460
2.0319 2.0319 -5.0460
La Os Cl
1 1 2
direct
0.0000 0.0000 0.0000
0.2500 0.7500 0.5000
0.5000 0.5000 0.0000
0.7500 0.2500 0.5000
```

Values from the calculation:
The density of states at the Fermi level is 3.43 states/eV/f.u. As for the crystal system: tetragonal.


Entry b
Here is a relaxed LaOsCl2 crystal from the Alexandria database. Energies are from PBE.

The structure in POSCAR format:
```
LaOsCl2
1.0
7.3927 -1.6662 0.0000
7.3927 1.6662 0.0000
-1.1551 0.0000 4.0680
La Os Cl
1 1 2
direct
0.0000 0.0000 0.0000
0.6542 0.6542 0.1475
0.1548 0.1548 0.6479
0.4026 0.4026 0.4071
```

Values from the calculation:
The density of states at the Fermi level is 0.94 states/eV/f.u. As for the crystal system: monoclinic.


The most stable of them is entry b.


Entry a
Here is a relaxed LaOs2Cl crystal from the Alexandria database. Energies are from PBE.

The structure in POSCAR format:
```
LaOs2Cl
1.0
3.0399 0.0000 0.0000
0.0000 3.0399 0.0000
0.0000 0.0000 7.8935
La Os Cl
1 2 1
direct
0.0000 0.0000 0.0000
0.5000 0.5000 0.2977
0.5000 0.5000 0.7023
0.0000 0.0000 0.5000
```

Values from the calculation:
The density of states at the Fermi level is 5.93 states/eV/f.u. As for the crystal system: tetragonal.


Entry b
Here is a relaxed LaOs2Cl crystal from the Alexandria database. Energies are from PBE.

The structure in POSCAR format:
```
LaOs2Cl
1.0
3.5314 -2.0383 0.0000
3.5314 2.0383 0.0000
-2.2537 0.0000 7.5147
La Os Cl
1 2 1
direct
0.0000 0.0000 0.0000
0.2296 0.2296 0.6750
0.5849 0.5849 0.7441
0.7440 0.7440 0.2421
```

Values from the calculation:
The density of states at the Fermi level is 0.55 states/eV/f.u. As for the crystal system: monoclinic.


The most stable of them is entry b.


Entry a
Here is a relaxed LaOs2Cl crystal from the Alexandria database. Energies are from PBE.

The structure in POSCAR format:
```
LaOs2Cl
1.0
6.1956 -1.6619 0.0000
6.1956 1.6619 0.0000
-1.3853 0.0000 3.9215
La Os Cl
1 2 1
direct
0.0000 0.0000 0.0000
0.2519 0.2519 0.7522
0.7481 0.7481 0.2478
0.5000 0.5000 0.5000
```

Values from the calculation:
The density of states at the Fermi level is 3.29 states/eV/f.u. As for the crystal system: monoclinic.


Entry b
Here is a relaxed LaOs2Cl crystal from the Alexandria database. Energies are from PBE.

The structure in POSCAR format:
```
LaOs2Cl
1.0
-1.9610 2.7707 4.1676
1.9610 -2.7707 4.1676
1.9610 2.7707 -4.1676
La Os Cl
1 2 1
direct
0.0000 0.0000 0.0000
0.3344 0.8344 0.5000
0.4870 0.4870 0.0000
0.7155 0.2155 0.5000
```

Values from the calculation:
The density of states at the Fermi level is 1.21 states/eV/f.u. As for the crystal system: orthorhombic.


Entry c
Here is a relaxed LaOs2Cl crystal from the Alexandria database. Energies are from PBE.

The structure in POSCAR format:
```
LaOs2Cl
1.0
3.1837 0.0000 0.0000
0.0000 5.9006 0.0000
-0.0256 0.0000 4.3874
La Os Cl
1 2 1
direct
0.0000 0.0000 0.0000
0.3208 0.5000 0.2474
0.6792 0.5000 0.7526
0.5000 0.0000 0.5000
```

Values from the calculation:
The density of states at the Fermi level is 2.96 states/eV/f.u. As for the crystal system: monoclinic.


The most stable of them is entry a.


Entry a
Here is a relaxed LaOs2Cl crystal from the Alexandria database. Energies are from PBE.

The structure in POSCAR format:
```
LaOs2Cl
1.0
3.7454 0.0000 0.0000
0.0000 3.7454 0.0000
0.0000 0.0000 5.8455
La Os Cl
1 2 1
direct
0.0000 0.0000 0.0000
0.0000 0.5000 0.5000
0.5000 0.0000 0.5000
0.5000 0.5000 0.0000
```

Values from the calculation:
The density of states at the Fermi level is 4.31 states/eV/f.u. As for the crystal system: tetragonal.


Entry b
Here is a relaxed LaOs2Cl crystal from the Alexandria database. Energies are from PBE.

The structure in POSCAR format:
```
LaOs2Cl
1.0
1.5063 0.8697 9.4192
-1.5063 0.8697 9.4192
0.0000 -1.7393 9.4192
La Os Cl
1 2 1
direct
0.0000 0.0000 0.0000
0.4990 0.4990 0.4990
0.7647 0.7647 0.7647
0.2490 0.2490 0.2490
```

Values from the calculation:
The density of states at the Fermi level is 4.40 states/eV/f.u. As for the crystal system: trigonal.


The most stable of them is entry a.